Material: NaSiSnIr
Method: DFT, GGA-PBE
State: optimized geometry

## Properties
**Total DFT energy (no corrections)**: -18.05 eV for the cell shown
**Energy relative to the lowest polymorph listed for this composition**: 0.370 eV/atom

a b c (Å): 4.691 4.691 4.691
angles (deg): 60.00 60.00 60.00
Positions (direct):
Na (0.000, 0.000, 0.000)
Si (0.250, 0.250, 0.250)
Sn (0.500, 0.500, 0.500)
Ir (0.750, 0.750, 0.750)